Entry from Alexandria via LeMat-Bulk: a relaxed TaPdBr2 crystal (GGA-PBEsol).

a b c (Å): 3.2718 3.2718 26.4526
angles (deg): 90.00 90.00 120.00
Space group R-3m (No. 166, hexagonal axes)
Symmetry-distinct sites (fractional):
Ta (0.0000, 0.0000, 0.0000)
Pd (0.0000, 0.0000, 0.5000)
Br (0.0000, 0.0000, 0.0921)

Calculated values
- formation energy without anion corrections (eV per atom) = 0.343
- DOS(E_F) (states/eV/cell) = 10.96
- mass density (Mg/m³) = 9.1
- E above lowest polymorph (meV/atom) = 0